(1)
Density functional theory data (GGA-PBE) for a relaxed HfTaVAs2 crystal.

Values from the calculation:
The value obtained for the density of states at the Fermi level is 1.072 states/eV per atom. For the density, the calculation gives 8.3 g/cm3. The formation energy comes out at 1.329 eV per atom.

Cell: 4.984 4.531 4.984 Å, 90.00 90.00 90.00°
Last column: magnetic moment on the atom in μB.
Fractional coordinates of all 5 atoms:
Hf 0.000 0.000 0.000  0.03
As 0.500 0.000 0.000  -0.01
As 0.000 0.000 0.500  -0.02
V 0.000 0.500 0.000  1.39
Ta 0.500 0.500 0.500  0.26

***

(2)
Density functional theory data (GGA-PBE) for a relaxed PmDy7Ho12 crystal.

Values from the calculation:
The value obtained for the density of states at the Fermi level is 1.201 states/eV per atom. As for the relative energy among the computed polymorphs: 410 meV/atom. For the density, the calculation gives 7.7 g/cm3. The formation energy comes out at 0.712 eV per atom.

Cell: 9.712 9.712 9.712 Å, 109.47 109.47 109.47°
Fractional coordinates of all 20 atoms:
Dy 0.000 0.500 0.500
Dy 0.500 0.000 0.000
Dy 0.500 0.000 0.500
Dy 0.000 0.000 0.500
Dy 0.000 0.500 0.000
Dy 0.500 0.500 0.500
Dy 0.500 0.500 0.000
Ho 0.747 0.001 0.254
Ho 0.253 0.507 0.254
Ho 0.507 0.254 0.253
Ho 0.999 0.746 0.253
Ho 0.254 0.253 0.507
Ho 0.254 0.747 0.001
Ho 0.747 0.493 0.746
Ho 0.493 0.746 0.747
Ho 0.253 0.999 0.746
Ho 0.746 0.747 0.493
Ho 0.746 0.253 0.999
Ho 0.001 0.254 0.747
Pm 0.000 0.000 0.000

***

(3)
Density functional theory data (GGA-PBE) for a relaxed LiFeOs3 crystal.

Values from the calculation:
The value obtained for the density of states at the Fermi level is 1.352 states/eV per atom. As for the relative energy among the computed polymorphs: 0 meV/atom. For the density, the calculation gives 16.1 g/cm3. The formation energy comes out at 1.445 eV per atom.

Cell: 4.028 4.028 4.028 Å, 90.00 90.00 90.00°
Fractional coordinates of all 5 atoms:
Fe 0.500 0.500 0.500
Os 0.000 0.500 0.000
Os 0.000 0.000 0.500
Os 0.500 0.000 0.000
Li 0.000 0.000 0.000

***

(4)
Density functional theory data (GGA-PBE) for a relaxed Ga2ReGePb crystal.

Values from the calculation:
The value obtained for the density of states at the Fermi level is 1.008 states/eV per atom. For the density, the calculation gives 7.9 g/cm3. The formation energy comes out at 0.640 eV per atom.

Cell: 4.879 5.346 4.879 Å, 90.00 90.00 90.00°
Last column: magnetic moment on the atom in μB.
Fractional coordinates of all 5 atoms:
Ge 0.500 0.500 0.500  0.26
Ga 0.000 0.000 0.500  -0.01
Ga 0.500 0.000 0.000  0.00
Pb 0.000 0.500 0.000  0.01
Re 0.000 0.000 0.000  0.25

***

Number 1: final energy -6.72 eV per atom. Number 2: final energy -3.88 eV per atom. Number 3: final energy -7.37 eV per atom. Number 4: final energy -4.73 eV per atom.